Entry 1:
# SnTe2CN

An optimized crystal structure of SnTe2CN (PBE, Alexandria).

The calculation puts the formation energy from raw total energies at 427 kJ/mol of formula units. The density of states at the Fermi level is 1.92 states/eV per cell. The value obtained for the energy above the most stable polymorph in this dataset is 0 meV per atom.

abc: 6.504 6.504 2.684
angles: 90.00 90.00 90.00
Space group P4/mmm (No. 123)
Unique sites:
Sn 0.000 0.000 0.000 (multiplicity 1)
Te 0.000 0.500 0.500 (multiplicity 2)
C 0.500 0.500 0.500 (multiplicity 1)
N 0.500 0.500 0.000 (multiplicity 1)


Entry 2:
# NaGa3F

An optimized crystal structure of NaGa3F (PBE, Alexandria).

The calculation puts the formation energy from raw total energies at 159 kJ/mol of formula units. The density of states at the Fermi level is 4.19 states/eV per cell. The value obtained for the energy above the most stable polymorph in this dataset is 753 meV per atom.

abc: 5.375 5.375 5.375
angles: 90.00 90.00 90.00
Space group Pm-3m (No. 221)
Unique sites:
Na 0.000 0.000 0.000 (multiplicity 1)
Ga 0.000 0.000 0.500 (multiplicity 3)
F 0.500 0.500 0.500 (multiplicity 1)


Entry 3:
# CeCuSi

An optimized crystal structure of CeCuSi (PBE, Alexandria).

The calculation puts the formation energy from raw total energies at -162 kJ/mol of formula units. The density of states at the Fermi level is 9.32 states/eV per cell.

abc: 4.1417 4.1417 8.0157
angles: 90.00 90.00 120.00
Space group P6_3/mmc (No. 194)
Unique sites:
Ce 0.0000 0.0000 0.0000 (multiplicity 2)
Cu 0.3333 0.6667 0.2500 (multiplicity 2)
Si 0.3333 0.6667 0.7500 (multiplicity 2)


Entry 4:
# Cr3SeN

An optimized crystal structure of Cr3SeN (PBE, Alexandria).

The calculation puts the formation energy from raw total energies at 1027 kJ/mol of formula units. The density of states at the Fermi level is 6.62 states/eV per cell. The value obtained for the energy above the most stable polymorph in this dataset is 2144 meV per atom.

abc: 4.340 4.340 4.340
angles: 90.00 90.00 90.00
Space group Pm-3m (No. 221)
Unique sites:
Cr 0.000 0.000 0.500 (multiplicity 3)
Se 0.000 0.000 0.000 (multiplicity 1)
N 0.500 0.500 0.500 (multiplicity 1)


Entry 5:
# AcPmPbAu

An optimized crystal structure of AcPmPbAu (PBE, Alexandria).

For the formation enthalpy at 0 K, the calculation gives -0.582 eV/atom. The density of states at the Fermi level is 10.97 states/eV per cell.

abc: 7.877 7.877 7.877
angles: 90.00 90.00 90.00
Space group F-43m (No. 216)
Unique sites:
Ac 0.000 0.000 0.000 (multiplicity 4)
Pm 0.000 0.000 0.500 (multiplicity 4)
Pb 0.250 0.250 0.750 (multiplicity 4)
Au 0.250 0.250 0.250 (multiplicity 4)


Entry 6:
# KLaCuCl5

An optimized crystal structure of KLaCuCl5 (PBE, Alexandria).

The calculation puts the formation energy from raw total energies at -1374 kJ/mol of formula units. The density of states at the Fermi level is 0.00 states/eV per cell.

abc: 8.890 12.031 10.298
angles: 90.00 112.72 90.00
Space group C2/c (No. 15)
Unique sites:
K 0.000 0.142 0.250 (multiplicity 4)
La 0.000 0.500 0.000 (multiplicity 4)
Cu 0.000 0.188 0.750 (multiplicity 4)
Cl 0.000 0.404 0.250 (multiplicity 4)
Cl 0.121 0.297 0.630 (multiplicity 8)
Cl 0.177 0.069 0.925 (multiplicity 8)


Entry 7:
# Ta3NbGa6

An optimized crystal structure of Ta3NbGa6 (PBE, Alexandria).

For the formation enthalpy at 0 K, the calculation gives 0.047 eV/atom. The density of states at the Fermi level is 18.59 states/eV per cell.

abc: 8.937 11.298 6.851
angles: 90.00 90.00 90.00
Space group Cmc2_1 (No. 36)
Unique sites:
Ta 0.000 0.056 0.000 (multiplicity 4)
Ta 0.217 0.454 0.149 (multiplicity 8)
Nb 0.000 0.318 0.787 (multiplicity 4)
Ga 0.000 0.286 0.160 (multiplicity 4)
Ga 0.000 0.451 0.434 (multiplicity 4)
Ga 0.151 0.127 0.341 (multiplicity 8)
Ga 0.242 0.313 0.490 (multiplicity 8)


Entry 8:
# Pm2NdScSe4

An optimized crystal structure of Pm2NdScSe4 (PBE, Alexandria).

The calculation puts the formation energy from raw total energies at -1347 kJ/mol of formula units. The density of states at the Fermi level is 4.96 states/eV per cell.

abc: 7.165 4.084 7.220
angles: 90.00 108.87 90.00
Space group P2/m (No. 10)
Unique sites:
Pm 0.000 0.000 0.000 (multiplicity 1)
Pm 0.000 0.500 0.500 (multiplicity 1)
Nd 0.500 0.000 0.500 (multiplicity 1)
Sc 0.500 0.500 0.000 (multiplicity 1)
Se 0.257 0.500 0.239 (multiplicity 2)
Se 0.267 0.000 0.769 (multiplicity 2)